(1)
Density functional theory data (meta-GGA SCAN) for a crystal of RuNCl2 relaxed with PBEsol.

Results
As for the crystal system: tetragonal. The value obtained for the polymorph energy (0 for the lowest one) is 0.0 meV/atom. As for the formation energy without anion corrections: 0.0362 eV/atom. The space group is I-42d (122). Its total moment is 0.00 μB/f.u. The value obtained for the calculated volume is 17.8 Å³/atom.

```
8
Lattice="3.6444 0.0000 0.0000 1.8222 6.2531 0.0000 1.8222 0.0000 6.2531" Properties=species:S:1:pos:R:3 pbc="T T T"
N 1.8222 0.0000 0.0000
Cl 4.1000 2.1759 0.9506
Ru 4.5555 3.1265 3.1265
Cl 5.0111 5.3024 2.1759
N 2.7333 3.1265 3.1265
Cl 5.0111 0.9506 4.0772
Ru 0.0000 0.0000 0.0000
Cl 4.1000 4.0772 5.3024
```

(2)
Density functional theory data (meta-GGA SCAN) for a crystal of K3Bi5P6O24 relaxed with PBEsol.

Results
As for the crystal system: monoclinic. As for the formation energy without anion corrections: -2.1742 eV/atom. The space group is C2/c (15). Its total moment is 0.00 μB/f.u. The value obtained for the calculated volume is 13.7 Å³/atom.

```
76
Lattice="-2.7946 -6.2578 -1.2992 6.5704 -6.8098 -0.0583 -2.5118 -6.1003 16.0603" Properties=species:S:1:pos:R:3 pbc="T T T"
O 4.1937 -12.1563 2.0542
O 2.6034 -14.0377 4.1796
O 2.6868 -11.5664 10.3884
Bi 2.0990 -13.8997 10.4904
O -1.3394 -5.1303 10.5232
Bi -0.5620 -8.8592 2.1957
O 1.9591 -8.0141 8.4420
O 0.5761 -6.8298 2.7540
O -1.4228 -7.6016 4.3144
O 5.3666 -6.9988 1.8458
O -2.0346 -8.0818 10.3463
O 0.6924 -8.6697 0.2392
Bi 1.4271 -14.3439 6.3426
O -1.6904 -13.1291 12.3538
O -4.1025 -12.1692 12.8570
O -2.9297 -7.0116 12.6486
O 0.6879 -12.3381 11.9488
O -3.0528 -8.8910 5.8058
O 1.3722 -5.8717 0.4704
P -2.4822 -6.1672 0.7856
Bi -0.6472 -7.1867 11.8419
P -0.6011 -11.7364 4.8386
K 1.8280 -16.1567 13.9673
O -0.9779 -8.5939 15.2070
P 4.0962 -10.9012 10.2830
O 2.2419 -10.5741 -0.5042
Bi 3.8559 -6.3483 0.0582
O 3.1065 -14.2631 8.4191
O 0.5716 -10.4983 14.4636
O -0.9320 -7.1577 8.1906
O 3.1083 -9.6655 6.3778
P 3.7462 -13.0008 13.9172
O 3.0514 -13.7636 15.0601
O -1.8443 -9.5025 8.3250
O 3.2986 -11.0862 4.3565
P 1.8651 -7.4316 9.8642
Bi -0.1630 -4.8241 8.3602
P 3.3061 -11.1380 5.9511
Bi -2.5918 -12.8197 14.6446
O -1.7874 -5.4044 -0.3573
Bi 1.9112 -11.9813 2.8609
K 0.3574 -8.4504 6.2261
O 3.0332 -11.6149 13.8411
Bi 1.8260 -10.3087 12.5071
O 0.9697 -4.4123 2.5326
O 1.1488 -8.4511 10.8090
O 1.3297 -16.1415 10.1619
K 3.4263 -8.5887 3.5652
O 2.9951 -6.7993 5.9862
O 3.2878 -8.5338 0.5404
P -0.2002 -13.3723 12.7010
O 2.9544 -6.0389 2.3490
K -0.5639 -3.0113 0.7355
Bi -0.8350 -5.2683 4.2124
O 4.3169 -10.2769 8.8970
K 0.9066 -10.7176 8.4767
O 0.7245 -5.7855 5.7102
O 2.1960 -12.0102 6.5122
O -0.5718 -9.2294 12.7277
P 1.4643 -5.7957 2.0018
P -2.8322 -8.2667 4.4198
P -2.0421 -8.0300 8.7517
O -2.0238 -10.6342 14.1624
O 1.8358 -9.9385 1.9751
O -1.7310 -12.3686 8.7166
O 0.2944 -14.7556 12.1702
O -0.0657 -3.0264 4.5409
O -1.8424 -4.9048 6.2837
O 0.5395 -13.3825 8.9926
P -0.7674 -9.7361 14.2278
O 0.1152 -10.7169 3.8938
K -2.1622 -10.5793 11.1376
O -0.1081 -13.2963 14.2324
O -1.7692 -7.5531 0.8617
O -0.6951 -11.1539 6.2608
P 2.0314 -9.4318 0.4750
```

(3)
Density functional theory data (meta-GGA SCAN) for a crystal of InIrOs relaxed with PBEsol.

Results
As for the crystal system: tetragonal. The formation energy comes out at 175 meV/atom. The space group is I4mm (107). Its total moment is 0.00 μB/f.u. The value obtained for the calculated volume is 15.8 Å³/atom.

```
3
Lattice="2.8222 0.0000 0.0000 0.0000 2.8222 0.0000 -1.4111 -1.4111 5.9551" Properties=species:S:1:pos:R:3 pbc="T T T"
Ir 0.0000 0.0000 3.8217
Os 1.4111 1.4111 2.1234
In 0.0000 0.0000 0.0099
```

(4)
Density functional theory data (meta-GGA SCAN) for a crystal of Cs3TeF relaxed with PBEsol.

Results
As for the crystal system: orthorhombic. As for the formation energy without anion corrections: -1.8844 eV/atom. The space group is Pnma (62). Its total moment is 0.00 μB/f.u. The value obtained for the calculated volume is 38.2 Å³/atom.

```
20
Lattice="-6.2431 4.9417 1.6952 -5.2159 -5.7484 -2.4515 -0.4120 -4.1979 10.7201" Properties=species:S:1:pos:R:3 pbc="T T T"
Cs -5.9940 2.3063 0.7429
F -3.3275 0.3719 6.2077
F -2.8139 -4.9732 4.1343
F -2.6079 -2.8742 -1.2257
Cs -5.6755 -5.2596 3.9823
Te -6.5478 1.7884 9.7336
Cs -2.9323 -0.2304 -0.1328
Cs -3.1336 -2.2818 5.1058
Cs -6.1954 0.2549 5.9815
Cs -8.7373 -2.7228 4.8580
Cs -8.3835 -4.2679 1.1015
Te -6.0326 -3.5549 7.6610
F -3.1215 2.4709 0.8476
Te -5.3231 -6.7930 0.2303
Te -5.8383 -1.4497 2.3029
Cs -3.4874 -0.7368 8.8623
Cs -2.8638 -5.9606 6.8407
Cs -8.9386 -4.7742 10.0966
Cs -9.0072 0.9559 3.1231
Cs -5.8769 -7.3110 9.2209
```

(5)
Density functional theory data (meta-GGA SCAN) for a crystal of InTc3C relaxed with PBEsol.

Results
As for the crystal system: cubic. The formation energy comes out at 177 meV/atom. The space group is Pm-3m (221). Its total moment is 1.71 μB/f.u. The value obtained for the calculated volume is 13.6 Å³/atom.

```
5
Lattice="-1.3569 1.8622 -3.3750 -2.2314 -3.2970 -0.9220 -3.1431 1.5367 2.1116" Properties=species:S:1:pos:R:3 pbc="T T T"
Tc -1.1157 -1.6485 -0.4610
Tc -1.5716 0.7684 1.0558
In -3.3657 0.0510 -1.0927
Tc -0.6785 0.9311 -1.6875
C 0.0000 0.0000 0.0000
```

(6)
Density functional theory data (meta-GGA SCAN) for a crystal of CuRh3 relaxed with PBEsol.

Results
As for the crystal system: orthorhombic. The formation energy comes out at 75 meV/atom. The space group is Pnma (62). Its total moment is 0.00 μB/f.u. The value obtained for the calculated volume is 13.1 Å³/atom.

```
16
Lattice="-0.0450 -1.3048 -4.4117 4.9105 -1.9363 0.5226 -3.2481 -7.6201 2.2868" Properties=species:S:1:pos:R:3 pbc="T T T"
Cu -0.1952 -3.3591 -3.3974
Rh -1.0410 -4.3793 0.1002
Rh -1.4211 -9.3272 -0.8316
Rh 2.6584 -6.4819 -1.7025
Rh -2.6600 -8.1774 1.2400
Rh -1.8189 -6.7256 -0.7753
Rh 3.4363 -4.1357 -0.8270
Cu 1.8125 -7.5021 1.7952
Rh 4.2773 -2.6839 -2.8423
Cu 0.6508 -7.7053 -0.5320
Rh 0.1979 -5.5291 -1.9714
Cu 0.9665 -3.1559 -1.0703
Rh 1.4194 -5.3321 0.3691
Rh -0.6277 -6.5340 1.5550
Rh 2.2451 -4.3272 -3.1573
Rh 3.0384 -1.5341 -0.7707
```

(7)
Density functional theory data (meta-GGA SCAN) for a crystal of CdAgAu2 relaxed with PBEsol.

Results
As for the crystal system: tetragonal. The formation energy comes out at -176 meV/atom. The space group is I4/mmm (139). Its total moment is 0.00 μB/f.u. The value obtained for the calculated volume is 17.3 Å³/atom.

```
4
Lattice="-2.8091 0.2306 -3.0384 -2.7747 -1.9017 2.4210 1.5654 4.4143 1.7142" Properties=species:S:1:pos:R:3 pbc="T T T"
Au -2.0006 0.8385 1.9132
Au -2.0178 1.9047 -0.8165
Ag 0.0000 0.0000 0.0000
Cd -2.7919 -0.8355 -0.3087
```

(8)
Density functional theory data (meta-GGA SCAN) for a crystal of LiMoPt2 relaxed with PBEsol.

Results
As for the crystal system: tetragonal. The value obtained for the polymorph energy (0 for the lowest one) is 140.6 meV/atom. The formation energy comes out at -396 meV/atom. The space group is I4/mmm (139). Its total moment is 0.95 μB/f.u. The value obtained for the calculated volume is 14.1 Å³/atom.

```
4
Lattice="3.8771 0.0000 0.0000 0.0000 3.8771 0.0000 -1.9385 -1.9385 3.7487" Properties=species:S:1:pos:R:3 pbc="T T T"
Mo 1.9385 1.9385 0.0000
Pt 0.0000 1.9385 1.8744
Li 0.0000 0.0000 0.0000
Pt 1.9385 0.0000 1.8744
```

(9)
Density functional theory data (meta-GGA SCAN) for a crystal of Cs2TiPb relaxed with PBEsol.

Results
As for the crystal system: cubic. The formation energy comes out at 811 meV/atom. The space group is Fm-3m (225). Its total moment is 2.98 μB/f.u. The value obtained for the calculated volume is 40.3 Å³/atom.

```
4
Lattice="-0.4727 4.6370 3.9511 -5.2733 0.9999 2.9205 -0.4354 -1.1228 5.9905" Properties=species:S:1:pos:R:3 pbc="T T T"
Pb -3.0907 2.2570 6.4311
Cs -4.6360 3.3856 9.6466
Cs -1.5453 1.1285 3.2155
Ti 0.0000 0.0000 0.0000
```

(10)
Density functional theory data (meta-GGA SCAN) for a crystal of MgZr2Cd relaxed with PBEsol.

Results
As for the crystal system: orthorhombic. The formation energy comes out at -66 meV/atom. The space group is Imm2 (44). Its total moment is 0.00 μB/f.u. The value obtained for the calculated volume is 21.2 Å³/atom.

```
4
Lattice="-1.9283 -0.1804 2.4917 -3.4487 -2.8034 -2.8719 4.9734 -2.8111 1.6468" Properties=species:S:1:pos:R:3 pbc="T T T"
Mg 0.2366 -2.3514 2.0113
Zr -0.4152 -5.7731 1.2591
Zr -0.5946 -3.5293 -0.7157
Cd 2.2509 -4.2391 1.4350
```

(11)
Density functional theory data (meta-GGA SCAN) for a crystal of BeB2HPd relaxed with PBEsol.

Results
As for the crystal system: tetragonal. The space group is P4/mmm (123). The calculation puts the electronic total energy at -10.298 eV/atom. Its total moment is 0.00 μB/f.u. The value obtained for the calculated volume is 7.5 Å³/atom.

```
5
Lattice="-2.3963 -0.8954 -2.1432 -2.0182 -0.7215 2.5580 -1.1603 3.1618 -0.0236" Properties=species:S:1:pos:R:3 pbc="T T T"
Pd -2.7874 0.7725 0.1956
Be -0.5802 1.5809 -0.0118
H 0.0000 0.0000 0.0000
B -1.0091 -0.3608 1.2790
B -1.1981 -0.4477 -1.0716
```

(12)
Density functional theory data (meta-GGA SCAN) for a crystal of Sr7W4O19 relaxed with PBEsol.

Results
As for the crystal system: monoclinic. As for the formation energy without anion corrections: -2.9253 eV/atom. The space group is C2/m (12). Its total moment is 0.00 μB/f.u. The value obtained for the calculated volume is 13.1 Å³/atom.

```
30
Lattice="5.5772 0.0000 0.0000 -2.7886 6.8317 -0.0075 0.0000 -1.4771 10.3091" Properties=species:S:1:pos:R:3 pbc="T T T"
W 0.0000 4.1223 2.2372
O 1.4456 5.4309 2.9340
W 2.7886 5.3310 7.0117
Sr 2.7886 3.3718 4.2538
O 0.0000 0.4240 1.4705
O -1.4304 2.2847 8.7307
O 4.2342 -0.0763 7.3676
Sr 0.0000 4.4558 8.6403
O 0.0000 5.3578 0.7353
O 1.3789 1.1339 3.8220
O 2.7886 4.9306 8.8311
O 4.1984 1.1339 3.8220
W 2.7886 1.2323 8.0644
O 2.7886 1.7721 6.2890
O 0.0000 -0.7385 5.1546
O 2.7886 -0.0032 9.5663
Sr 2.7886 0.8988 1.6612
O 4.2190 3.0699 1.5709
O 1.3431 -0.0763 7.3676
Sr 0.0000 1.9828 6.0478
W 0.0000 0.0236 3.2899
O -1.4097 4.2207 6.4796
Sr 2.7886 -0.7385 5.1546
Sr 0.0000 0.5063 9.8212
Sr 2.7886 4.8483 0.4803
O -1.4456 5.4309 2.9340
O 0.0000 3.5825 4.0126
O 1.4097 4.2207 6.4796
O 1.4304 2.2847 8.7307
O 1.3583 3.0699 1.5709
```

Sequential density of states at the Fermi level output: 0.297; 0.000; 0.484; 0.000; 0.892; 1.495; 0.238; 0.482; 2.228; 0.816; 0.399; 0.000 states/eV per atom